The following is a DFT calculation (PBE) of a relaxed TaRh2 crystal.

a = 4.4306 Å, b = 4.4306 Å, c = 5.4647 Å
α = 90.00°, β = 90.00°, γ = 120.00°
Space group P-3m1 (No. 164)
Symmetry-distinct sites (fractional):
Ta 0.3333 0.6667 0.2622 x2
Rh 0.0000 0.0000 0.0000 x1
Rh 0.0000 0.0000 0.5000 x1
Rh 0.3333 0.6667 0.7590 x2

Computed properties:
For the total moment, the calculation gives 0.00 μB/atom. The energy is -9.364 eV/atom.



The following is a DFT calculation (PBE) of a relaxed TaRh2 crystal.

a = 4.3901 Å, b = 4.3901 Å, c = 2.8120 Å
α = 90.00°, β = 90.00°, γ = 120.00°
Space group P-3m1 (No. 164)
Symmetry-distinct sites (fractional):
Ta 0.0000 0.0000 0.0000 x1
Rh 0.3333 0.6667 0.7324 x2

Computed properties:
For the total moment, the calculation gives 0.00 μB/atom. The energy is -9.181 eV/atom.



The following is a DFT calculation (PBE) of a relaxed TaRh crystal.

a = 9.6194 Å, b = 7.6426 Å, c = 5.3393 Å
α = 90.00°, β = 90.00°, γ = 90.00°
Space group Pbcm (No. 57)
Symmetry-distinct sites (fractional):
Ta 0.1334 0.2500 0.0000 x4
Ta 0.1750 0.6433 0.2500 x4
Ta 0.3653 0.0411 0.2500 x4
Rh 0.0565 0.5430 0.7500 x4
Rh 0.3665 0.0946 0.7500 x4
Rh 0.4137 0.7500 0.0000 x4

Computed properties:
For the total moment, the calculation gives 0.00 μB/atom. The energy is -10.007 eV/atom.



The following is a DFT calculation (PBE) of a relaxed TaRh crystal.

a = 3.9089 Å, b = 3.9089 Å, c = 8.4120 Å
α = 90.00°, β = 90.00°, γ = 90.00°
Space group I4_1/amd (No. 141, origin choice 2)
Symmetry-distinct sites (fractional):
Ta 0.0000 0.2500 0.3750 x4
Rh 0.0000 0.2500 0.8750 x4

Computed properties:
For the total moment, the calculation gives 0.00 μB/atom. The energy is -9.981 eV/atom.



The following is a DFT calculation (PBE) of a relaxed TaRh2 crystal.

a = 10.1115 Å, b = 2.8970 Å, c = 6.5191 Å
α = 90.00°, β = 104.27°, γ = 90.00°
Space group Cm (No. 8)
Symmetry-distinct sites (fractional):
Ta 0.0000 0.0000 0.0000 x2
Ta 0.1825 0.5000 0.3573 x2
Rh 0.1249 0.5000 0.7439 x2
Rh 0.2863 0.0000 0.0777 x2
Rh 0.3455 0.0000 0.6753 x2
Rh 0.4651 0.5000 0.4032 x2

Computed properties:
For the total moment, the calculation gives 0.00 μB/atom. The energy is -9.214 eV/atom.



The following is a DFT calculation (PBE) of a relaxed TaRh crystal.

a = 4.5340 Å, b = 4.5340 Å, c = 7.6792 Å
α = 90.00°, β = 90.00°, γ = 120.00°
Space group P6_3/mmc (No. 194)
Symmetry-distinct sites (fractional):
Ta 0.3333 0.6667 0.0824 x4
Rh 0.0000 0.0000 0.2500 x2
Rh 0.3333 0.6667 0.7500 x2

Computed properties:
For the total moment, the calculation gives 0.00 μB/atom. The energy is -9.561 eV/atom.



The following is a DFT calculation (PBE) of a relaxed TaRh2 crystal.

a = 5.4300 Å, b = 4.2128 Å, c = 8.1206 Å
α = 90.00°, β = 90.00°, γ = 90.00°
Space group Pnma (No. 62)
Symmetry-distinct sites (fractional):
Ta 0.1757 0.2500 0.1080 x4
Rh 0.0627 0.2500 0.7812 x4
Rh 0.1592 0.2500 0.4343 x4

Computed properties:
For the total moment, the calculation gives 0.00 μB/atom. The energy is -9.432 eV/atom.



The following is a DFT calculation (PBE) of a relaxed TaRh2 crystal.

a = 8.2556 Å, b = 4.9691 Å, c = 5.5956 Å
α = 90.00°, β = 126.11°, γ = 90.00°
Space group C2/c (No. 15)
Symmetry-distinct sites (fractional):
Ta 0.0000 0.1196 0.2500 x4
Rh 0.1730 0.3984 0.7549 x8

Computed properties:
For the total moment, the calculation gives 0.00 μB/atom. The energy is -9.325 eV/atom.



The following is a DFT calculation (PBE) of a relaxed Ta8Rh crystal.

a = 9.7700 Å, b = 9.7700 Å, c = 3.3424 Å
α = 90.00°, β = 90.00°, γ = 90.00°
Space group I4/mmm (No. 139)
Symmetry-distinct sites (fractional):
Ta 0.0000 0.3318 0.0000 x8
Ta 0.1651 0.1651 0.5000 x8
Rh 0.0000 0.0000 0.0000 x2

Computed properties:
For the total moment, the calculation gives 0.00 μB/atom. The energy is -11.510 eV/atom.



The following is a DFT calculation (PBE) of a relaxed TaRh4 crystal.

a = 3.5287 Å, b = 3.5287 Å, c = 12.9869 Å
α = 90.00°, β = 90.00°, γ = 90.00°
Space group I4/mmm (No. 139)
Symmetry-distinct sites (fractional):
Ta 0.0000 0.0000 0.0000 x2
Rh 0.0000 0.0000 0.4023 x4
Rh 0.0000 0.5000 0.2500 x4

Computed properties:
For the energy relative to the lowest polymorph listed for this composition, the calculation gives 495 meV per atom. For the total moment, the calculation gives 0.00 μB/atom. The energy is -8.138 eV/atom.



The following is a DFT calculation (PBE) of a relaxed Ta3Rh8 crystal.

a = 8.1117 Å, b = 10.6378 Å, c = 4.7153 Å
α = 90.00°, β = 121.81°, γ = 90.00°
Space group C2/m (No. 12)
Symmetry-distinct sites (fractional):
Ta 0.0000 0.0000 0.0000 x2
Ta 0.2500 0.2500 0.0000 x4
Rh 0.0000 0.1237 0.5000 x4
Rh 0.1390 0.3610 0.4193 x8
Rh 0.1764 0.5000 0.9735 x4

Computed properties:
For the total moment, the calculation gives 0.00 μB/atom. The energy is -8.876 eV/atom.



The following is a DFT calculation (PBE) of a relaxed TaRh crystal.

a = 7.3669 Å, b = 7.3669 Å, c = 4.5947 Å
α = 90.00°, β = 90.00°, γ = 120.00°
Space group P6_3/m (No. 176)
Symmetry-distinct sites (fractional):
Ta 0.0872 0.6394 0.2500 x6
Rh 0.0441 0.7918 0.7500 x6

Computed properties:
For the total moment, the calculation gives 0.00 μB/atom. The energy is -9.558 eV/atom.